The following is a PBE calculation of a relaxed NaPaHgPb crystal, from Alexandria.

Unit cell a=7.5234 b=7.5234 c=7.5234 alpha=90.00 beta=90.00 gamma=90.00
With the nearest neighbours (Å) after each atom.
Space group F-43m (No. 216)
Unique sites:
Na  0.0000  0.0000  0.0000 x4  4 Hg 3.26, 4 Pb 3.26
Pa  0.0000  0.0000  0.5000 x4  4 Hg 3.26, 4 Pb 3.26
Hg  0.2500  0.2500  0.2500 x4  4 Na 3.26, 4 Pa 3.26
Pb  0.2500  0.2500  0.7500 x4  4 Na 3.26, 4 Pa 3.26

Output
Energy relative to the elements ... 32 kJ/mol of formula units